# Rb2CeBiSe4 PBE optimized geometry
# E_form (uncorrected): -946 kJ/mol of formula units
# magnetization: 0.96 μB per formula unit
# final energy: -35.492 eV for the cell shown
data_Rb2CeBiSe4
_chemical_formula_sum 'Rb2 Ce1 Bi1 Se4'
_cell_length_a 7.593
_cell_length_b 4.412
_cell_length_c 8.382
_cell_angle_alpha 90.00
_cell_angle_beta 107.74
_cell_angle_gamma 90.00
_space_group_name_H-M_alt 'P 1 2/m 1'
_space_group_IT_number 10
loop_
_space_group_symop_operation_xyz
'x,y,z'
'-x,-y,-z'
'-x,y,-z'
'x,-y,z'
loop_
_atom_site_label
_atom_site_type_symbol
_atom_site_fract_x
_atom_site_fract_y
_atom_site_fract_z
_atom_site_occupancy
Rb1 Rb 0.000 0.000 0.000 1
Rb2 Rb 0.500 0.500 0.000 1
Ce1 Ce 0.000 0.500 0.500 1
Bi1 Bi 0.500 0.000 0.500 1
Se1 Se 0.232 0.000 0.700 1
Se2 Se 0.266 0.500 0.299 1